<one>
Here is an optimized crystal structure of MgGa2Ge from Alexandria. Energies are from PBE.

total moment = 0.000 μB/atom
V = 318.7 Å³/cell

Unit cell a=6.830 b=6.830 c=6.830 alpha=90.00 beta=90.00 gamma=90.00
Space group Fm-3m (No. 225)
Symmetry-distinct sites (fractional):
1 Mg 0.000 0.000 0.000 x4
2 Ga 0.250 0.250 0.250 x8
3 Ge 0.000 0.000 0.500 x4

<two>
Here is an optimized crystal structure of MgGa2Ge from Alexandria. Energies are from PBE.

total moment = 0.000 μB/atom
V = 327.4 Å³/cell

Unit cell a=7.774 b=7.774 c=5.417 alpha=90.00 beta=90.00 gamma=90.00
Space group I-42d (No. 122)
Symmetry-distinct sites (fractional):
1 Mg 0.000 0.000 0.000 x4
2 Ga 0.208 0.250 0.625 x8
3 Ge 0.000 0.000 0.500 x4

Which of them is the most stable? Correct choice: <two>.

<one>
Here is an optimized crystal structure of Mg8Ga2Ge from Alexandria. Energies are from PBE.

total moment = 0.000 μB/atom
V = 462.3 Å³/cell

Unit cell a=16.389 b=4.543 c=6.664 alpha=90.00 beta=111.28 gamma=90.00
Space group C2/m (No. 12)
Symmetry-distinct sites (fractional):
1 Mg 0.026 0.000 0.281 x4
2 Mg 0.094 0.500 0.953 x4
3 Mg 0.167 0.500 0.451 x4
4 Mg 0.203 0.000 0.800 x4
5 Ga 0.178 0.000 0.188 x4
6 Ge 0.000 0.500 0.500 x2

<two>
Here is an optimized crystal structure of Mg8Ga2Ge from Alexandria. Energies are from PBE.

total moment = 0.000 μB/atom
V = 463.9 Å³/cell

Unit cell a=17.696 b=4.794 c=5.512 alpha=90.00 beta=97.21 gamma=90.00
Space group C2/m (No. 12)
Symmetry-distinct sites (fractional):
1 Mg 0.051 0.000 0.257 x4
2 Mg 0.083 0.500 0.600 x4
3 Mg 0.161 0.500 0.107 x4
4 Mg 0.242 0.000 0.331 x4
5 Ga 0.169 0.000 0.782 x4
6 Ge 0.000 0.500 0.000 x2

Which of them is the most stable? Correct choice: <one>.

<one>
Here is an optimized crystal structure of MgGa3Ge from Alexandria. Energies are from PBE.

total moment = 0.000 μB/atom
V = 125.2 Å³/cell

Unit cell a=5.002 b=5.002 c=5.002 alpha=90.00 beta=90.00 gamma=90.00
Space group Pm-3m (No. 221)
Symmetry-distinct sites (fractional):
1 Mg 0.000 0.000 0.000 x1
2 Ga 0.000 0.500 0.500 x3
3 Ge 0.500 0.500 0.500 x1

<two>
Here is an optimized crystal structure of MgGa3Ge from Alexandria. Energies are from PBE.

total moment = 0.000 μB/atom
V = 128.5 Å³/cell

Unit cell a=5.046 b=5.046 c=5.046 alpha=90.00 beta=90.00 gamma=90.00
Space group Pm-3m (No. 221)
Symmetry-distinct sites (fractional):
1 Mg 0.000 0.000 0.000 x1
2 Ga 0.000 0.000 0.500 x3
3 Ge 0.500 0.500 0.500 x1

Which of them is the most stable? Correct choice: <one>.

<one>
Here is an optimized crystal structure of MnGa3Ge from Alexandria. Energies are from PBE.

total moment = 0.000 μB/atom
V = 99.4 Å³/cell

Unit cell a=4.632 b=4.632 c=4.632 alpha=90.00 beta=90.00 gamma=90.00
Space group Pm-3m (No. 221)
Symmetry-distinct sites (fractional):
1 Mn 0.000 0.000 0.000 x1
2 Ga 0.000 0.000 0.500 x3
3 Ge 0.500 0.500 0.500 x1

<two>
Here is an optimized crystal structure of MnGa3Ge from Alexandria. Energies are from PBE.

total moment = 0.847 μB/atom
V = 118.2 Å³/cell

Unit cell a=4.907 b=4.907 c=4.907 alpha=90.00 beta=90.00 gamma=90.00
Space group Pm-3m (No. 221)
Symmetry-distinct sites (fractional):
1 Mn 0.000 0.000 0.000 x1
2 Ga 0.000 0.500 0.500 x3
3 Ge 0.500 0.500 0.500 x1

Which of them is the most stable? Correct choice: <one>.

<one>
Here is an optimized crystal structure of MnGaGe from Alexandria. Energies are from PBE.

total moment = 1.195 μB/atom
V = 48.9 Å³/cell

Unit cell a=4.5737 b=4.5737 c=2.6995 alpha=90.00 beta=90.00 gamma=120.00
Space group P3m1 (No. 156)
Symmetry-distinct sites (fractional):
1 Mn 0.0000 0.0000 0.0000 x1
2 Ga 0.6667 0.3333 0.5017 x1
3 Ge 0.3333 0.6667 0.4977 x1

<two>
Here is an optimized crystal structure of MnGaGe from Alexandria. Energies are from PBE.

total moment = 1.007 μB/atom
V = 206.3 Å³/cell

Unit cell a=5.909 b=5.909 c=5.909 alpha=90.00 beta=90.00 gamma=90.00
Space group F-43m (No. 216)
Symmetry-distinct sites (fractional):
1 Mn 0.000 0.000 0.000 x4
2 Ga 0.250 0.250 0.750 x4
3 Ge 0.250 0.250 0.250 x4

Which of them is the most stable? Correct choice: <two>.

<one>
Here is an optimized crystal structure of MnGaGe from Alexandria. Energies are from PBE.

total moment = 0.713 μB/atom
V = 91.5 Å³/cell

Unit cell a=3.941 b=3.941 c=5.889 alpha=90.00 beta=90.00 gamma=90.00
Space group P4/nmm (No. 129, origin choice 2)
Symmetry-distinct sites (fractional):
1 Mn 0.250 0.750 0.000 x2
2 Ga 0.250 0.250 0.296 x2
3 Ge 0.250 0.250 0.721 x2

<two>
Here is an optimized crystal structure of MnGaGe from Alexandria. Energies are from PBE.

total moment = 0.686 μB/atom
V = 182.5 Å³/cell

Unit cell a=3.940 b=3.940 c=11.754 alpha=90.00 beta=90.00 gamma=90.00
Space group I4/mmm (No. 139)
Symmetry-distinct sites (fractional):
1 Mn 0.000 0.500 0.000 x4
2 Ga 0.000 0.000 0.146 x4
3 Ge 0.000 0.000 0.359 x4

Which of them is the most stable? Correct choice: <one>.